(1)
Computed, not measured: a relaxed MnAl2Au crystal at the GGA-PBEsol level of DFT.

Cell: 3.7332 3.7332 8.2540 Å, 90.00 90.00 90.00°
With the nearest neighbours (Å) after each atom.
Space group I-4m2 (No. 119)
One atom of each set of equivalent atoms:
Mn (0.0000, 0.0000, 0.0000)  8 Al 2.64-2.78, 4 Au 2.78
Al (0.0000, 0.0000, 0.5000)  4 Mn 2.64, 4 Al 2.78, 4 Au 2.78
Al (0.0000, 0.5000, 0.2500)  4 Au 2.64, 4 Mn 2.78, 4 Al 2.78
Au (0.0000, 0.5000, 0.7500)  8 Al 2.64-2.78, 4 Mn 2.78

Properties
Fermi-level density of states in states/eV per cell: 4.73
Calculated formation energy in meV/atom: -249
Final energy in eV/f.u.: -22.87
Spin magnetization in μB/cell: 4.83

=====

(2)
Computed, not measured: a relaxed LiAl2Ag crystal at the GGA-PBEsol level of DFT.

Cell: 5.4502 8.1253 2.8730 Å, 90.00 90.00 90.00°
With the nearest neighbours (Å) after each atom.
Space group Cmmm (No. 65)
One atom of each set of equivalent atoms:
Li (0.0000, 0.0000, 0.0000)  2 Ag 2.73, 8 Al 2.84, 2 Li 2.87
Al (0.2500, 0.2500, 0.5000)  4 Al 2.73-2.87, 4 Li 2.84, 4 Ag 2.84
Ag (0.0000, 0.5000, 0.0000)  2 Li 2.73, 8 Al 2.84, 2 Ag 2.87

Properties
Fermi-level density of states in states/eV per cell: 2.63
Calculated formation energy in meV/atom: -99
Final energy in eV/f.u.: -13.86
Spin magnetization in μB/cell: 0.00

=====

(3)
Computed, not measured: a relaxed KTl2Te crystal at the GGA-PBEsol level of DFT.

Cell: 3.3950 5.5579 6.6079 Å, 90.00 91.12 90.00°
With the nearest neighbours (Å) after each atom.
Space group Pm (No. 6)
One atom of each set of equivalent atoms:
K (0.0000, 0.0000, 0.0000)  2 K 3.40, 4 Te 3.50, 6 Tl 3.62-3.78
Tl (0.0511, 0.5000, 0.6394)  2 Te 3.35-3.45, 6 Tl 3.36-3.40, 2 K 3.67
Tl (0.5314, 0.0000, 0.5025)  6 Tl 3.36-3.40, 2 Te 3.45, 3 K 3.62-3.75
Te (0.5059, 0.5000, 0.1937)  4 Tl 3.35-3.45, 2 Te 3.40, 4 K 3.50

Properties
Fermi-level density of states in states/eV per cell: 2.03
Formation energy (no corrections) in eV per atom: -0.2618
Final energy in eV/f.u.: -10.97
Spin magnetization in μB/cell: 0.00

=====

(4)
Computed, not measured: a relaxed HgWN2F crystal at the GGA-PBEsol level of DFT.

Cell: 4.1654 4.1654 4.0873 Å, 90.00 90.00 90.00°
With the nearest neighbours (Å) after each atom.
Space group P4/mmm (No. 123)
One atom of each set of equivalent atoms:
Hg (0.0000, 0.0000, 0.0000)  2 F 2.04, 4 N 2.08
W (0.5000, 0.5000, 0.5000)  8 N 2.92, 4 F 2.95
N (0.0000, 0.5000, 0.0000)  2 Hg 2.08
F (0.0000, 0.0000, 0.5000)  2 Hg 2.04

Properties
Fermi-level density of states in states/eV per cell: 4.28
Formation energy (no corrections) in eV per atom: 2.0428
Final energy in eV/f.u.: -23.14
Spin magnetization in μB/cell: 2.46

=====

(5)
Computed, not measured: a relaxed Re3SiS crystal at the GGA-PBEsol level of DFT.

Cell: 4.3000 4.3000 4.3000 Å, 90.00 90.00 90.00°
With the nearest neighbours (Å) after each atom.
Space group Pm-3m (No. 221)
One atom of each set of equivalent atoms:
Re (0.0000, 0.0000, 0.5000)  2 S 2.15
Si (0.5000, 0.5000, 0.5000)  12 Re 3.04
S (0.0000, 0.0000, 0.0000)  6 Re 2.15

Properties
Fermi-level density of states in states/eV per cell: 6.00
Formation energy (no corrections) in eV per atom: 1.2153
Final energy in eV/f.u.: -44.05
Spin magnetization in μB/cell: 0.00

=====

(6)
Computed, not measured: a relaxed ZrFe2Cl crystal at the GGA-PBEsol level of DFT.

Cell: 6.1066 6.1066 6.1066 Å, 90.00 90.00 90.00°
With the nearest neighbours (Å) after each atom.
Space group Fm-3m (No. 225)
One atom of each set of equivalent atoms:
Zr (0.0000, 0.0000, 0.0000)  8 Fe 2.64
Fe (0.2500, 0.2500, 0.2500)  4 Zr 2.64, 4 Cl 2.64
Cl (0.0000, 0.0000, 0.5000)  8 Fe 2.64

Properties
Fermi-level density of states in states/eV per cell: 16.69
Formation energy (no corrections) in eV per atom: 0.6172
Final energy in eV/f.u.: -26.56
Spin magnetization in μB/cell: 9.87

=====

(7)
Computed, not measured: a relaxed NiSN2O crystal at the GGA-PBEsol level of DFT.

Cell: 3.6266 3.6266 3.6941 Å, 90.00 90.00 90.00°
With the nearest neighbours (Å) after each atom.
Space group P4/mmm (No. 123)
One atom of each set of equivalent atoms:
Ni (0.0000, 0.0000, 0.0000)  4 S 2.56, 8 N 2.59
S (0.5000, 0.5000, 0.0000)  2 O 1.85
N (0.0000, 0.5000, 0.5000)  2 O 1.81
O (0.5000, 0.5000, 0.5000)  4 N 1.81, 2 S 1.85

Properties
Fermi-level density of states in states/eV per cell: 3.83
Formation energy (no corrections) in eV per atom: 2.0238
Final energy in eV/f.u.: -22.73
Spin magnetization in μB/cell: 1.18

=====

(8)
Computed, not measured: a relaxed MnCr2W crystal at the GGA-PBEsol level of DFT.

Cell: 2.8911 2.8911 5.8115 Å, 90.00 90.00 90.00°
With the nearest neighbours (Å) after each atom.
Space group P4mm (No. 99)
One atom of each set of equivalent atoms:
Mn (0.0000, 0.0000, 0.0000)  5 Cr 2.50-2.74, 4 W 2.53
Cr (0.0000, 0.0000, 0.5280)  4 Cr 2.43, 4 W 2.58
Cr (0.5000, 0.5000, 0.7527)  4 Cr 2.43, 4 Mn 2.50
W (0.5000, 0.5000, 0.2564)  4 Mn 2.53, 4 Cr 2.58

Properties
Fermi-level density of states in states/eV per cell: 3.76
Calculated formation energy in meV/atom: 96
Final energy in eV/f.u.: -43.67
Spin magnetization in μB/cell: 0.00

=====

(9)
Computed, not measured: a relaxed TmAgSn crystal at the GGA-PBEsol level of DFT.

Cell: 4.6267 4.6267 7.1849 Å, 90.00 90.00 120.00°
With the nearest neighbours (Å) after each atom.
Space group P6_3mc (No. 186)
One atom of each set of equivalent atoms:
Tm (0.0000, 0.0000, 0.0000)  3 Ag 2.98, 6 Sn 3.11-3.34
Ag (0.3333, 0.6667, 0.1837)  4 Sn 2.76-2.91, 3 Tm 2.98
Sn (0.3333, 0.6667, 0.7780)  4 Ag 2.76-2.91

Properties
Fermi-level density of states in states/eV per cell: 0.74
Calculated formation energy in meV/atom: -612
Final energy in eV/f.u.: -14.31
Spin magnetization in μB/cell: 0.00

=====

(10)
Computed, not measured: a relaxed La2CoAg crystal at the GGA-PBEsol level of DFT.

Cell: 3.4910 3.4910 7.5139 Å, 90.00 90.00 90.00°
With the nearest neighbours (Å) after each atom.
Space group P4/mmm (No. 123)
One atom of each set of equivalent atoms:
La (0.0000, 0.0000, 0.2170)  4 Co 2.96, 4 Ag 3.26, 1 La 3.26
Co (0.5000, 0.5000, 0.0000)  8 La 2.96
Ag (0.5000, 0.5000, 0.5000)  8 La 3.26, 4 Ag 3.49

Properties
Fermi-level density of states in states/eV per cell: 3.67
Calculated formation energy in meV/atom: -99
Final energy in eV/f.u.: -22.14
Spin magnetization in μB/cell: 0.00

=====

(11)
Computed, not measured: a relaxed KIrRu crystal at the GGA-PBEsol level of DFT.

Cell: 6.2207 6.2207 6.2207 Å, 90.00 90.00 90.00°
With the nearest neighbours (Å) after each atom.
Space group F-43m (No. 216)
One atom of each set of equivalent atoms:
K (0.0000, 0.0000, 0.0000)  4 Ru 2.69, 4 Ir 2.69
Ir (0.2500, 0.2500, 0.7500)  4 K 2.69
Ru (0.2500, 0.2500, 0.2500)  4 K 2.69

Properties
Fermi-level density of states in states/eV per cell: 14.14
Calculated formation energy in meV/atom: 2812
Final energy in eV/f.u.: -12.69
Spin magnetization in μB/cell: 10.87

=====

(12)
Computed, not measured: a relaxed TaAgAs2 crystal at the GGA-PBEsol level of DFT.

Cell: 3.5878 3.5878 5.4204 Å, 90.00 90.00 90.00°
With the nearest neighbours (Å) after each atom.
Space group P4mm (No. 99)
One atom of each set of equivalent atoms:
Ta (0.0000, 0.0000, 0.0000)  5 As 2.54-2.69
Ag (0.5000, 0.5000, 0.3193)  6 As 2.61-2.81
As (0.0000, 0.0000, 0.4695)  1 Ta 2.54, 4 Ag 2.66
As (0.5000, 0.5000, 0.8371)  2 Ag 2.61-2.81, 4 Ta 2.69

Properties
Fermi-level density of states in states/eV per cell: 1.49
Calculated formation energy in meV/atom: -63
Final energy in eV/f.u.: -26.33
Spin magnetization in μB/cell: 0.00

=====

Q: Among the records above, which one has the highest final energy?
A: KTl2Te

=====

Repeat the twelfth record exactly.
Computed, not measured: a relaxed TaAgAs2 crystal at the GGA-PBEsol level of DFT.

Cell: 3.5878 3.5878 5.4204 Å, 90.00 90.00 90.00°
With the nearest neighbours (Å) after each atom.
Space group P4mm (No. 99)
One atom of each set of equivalent atoms:
Ta (0.0000, 0.0000, 0.0000)  5 As 2.54-2.69
Ag (0.5000, 0.5000, 0.3193)  6 As 2.61-2.81
As (0.0000, 0.0000, 0.4695)  1 Ta 2.54, 4 Ag 2.66
As (0.5000, 0.5000, 0.8371)  2 Ag 2.61-2.81, 4 Ta 2.69

Properties
Fermi-level density of states in states/eV per cell: 1.49
Calculated formation energy in meV/atom: -63
Final energy in eV/f.u.: -26.33
Spin magnetization in μB/cell: 0.00